DFT (PBE) results for an optimized crystal structure of Pr2Y5Ho5.

For the total energy, the calculation gives -64.48 eV for the cell shown.

Geometry as POSCAR:
```
Pr2Y5Ho5
1.0
7.5819 -2.5294 0.0000
7.5819 2.5294 0.0000
-5.0518 0.0000 10.1208
Pr Y Ho
2 5 5
Direct
0.0833 0.0833 0.2485
0.9167 0.9167 0.7515
0.3338 0.3338 0.4998
0.4151 0.4151 0.2495
0.5000 0.5000 0.0000
0.5849 0.5849 0.7505
0.6662 0.6662 0.5002
0.0000 0.0000 0.5000
0.1682 0.1682 0.0004
0.2488 0.2488 0.7503
0.7512 0.7512 0.2497
0.8318 0.8318 0.9996
```

***

DFT (PBE) results for an optimized crystal structure of ZnNi2Pb.

For the total energy, the calculation gives -30.17 eV for the cell shown.

Geometry as POSCAR:
```
ZnNi2Pb
1.0
-2.0482 2.0482 8.4663
2.0482 -2.0482 8.4663
2.0482 2.0482 -8.4663
Zn Ni Pb
2 4 2
Direct
0.0000 0.0000 0.0000
0.7500 0.2500 0.5000
0.0391 0.6250 0.9141
0.3750 0.2891 0.4141
0.7109 0.1250 0.0859
0.8750 0.9609 0.5859
0.2500 0.7500 0.5000
0.5000 0.5000 0.0000
```

***

DFT (PBE) results for an optimized crystal structure of CdBiS2Cl.

The uncorrected formation energy is 0.083 eV per atom.

Geometry as POSCAR:
```
CdBiS2Cl
1.0
5.3096 0.0000 0.0000
0.0000 5.3096 0.0000
0.0000 0.0000 5.2726
Cd Bi S Cl
1 1 2 1
Direct
0.0000 0.0000 0.0000
0.5000 0.5000 0.5000
0.0000 0.5000 0.5000
0.5000 0.0000 0.5000
0.5000 0.5000 0.0000
```

***

DFT (PBE) results for an optimized crystal structure of YHfU2P4.

For the total energy, the calculation gives -70.40 eV for the cell shown.

Geometry as POSCAR:
```
YHfU2P4
1.0
6.7075 0.0000 0.0000
0.0000 3.8673 0.0000
-2.2224 0.0000 6.4099
Y Hf U P
1 1 2 4
Direct
0.0000 0.0000 0.0000
0.5000 0.5000 0.0000
0.0000 0.5000 0.5000
0.5000 0.0000 0.5000
0.2589 0.5000 0.2472
0.2622 0.0000 0.7593
0.7378 0.0000 0.2407
0.7411 0.5000 0.7528
```

***

DFT (PBE) results for an optimized crystal structure of Nd5HoGa5.

For the total energy, the calculation gives -47.04 eV for the cell shown.

Geometry as POSCAR:
```
Nd5HoGa5
1.0
7.8020 -2.8730 0.0000
7.8020 2.8730 0.0000
-1.3128 0.0000 6.8465
Nd Ho Ga
5 1 5
Direct
0.0000 0.0000 0.0000
0.3203 0.3203 0.5985
0.3599 0.3599 0.1027
0.6401 0.6401 0.8973
0.6797 0.6797 0.4015
0.0000 0.0000 0.5000
0.1645 0.1645 0.8026
0.1801 0.1801 0.2110
0.5000 0.5000 0.5000
0.8199 0.8199 0.7890
0.8355 0.8355 0.1974
```

***

DFT (PBE) results for an optimized crystal structure of AlReS3.

The calculation puts the energy above the lowest structure with this stoichiometry at 0.646 eV/atom. The uncorrected formation energy is 0.917 eV per atom.

Geometry as POSCAR:
```
AlReS3
1.0
4.4245 0.0000 0.0000
0.0000 4.4245 0.0000
0.0000 0.0000 4.4245
Al Re S
1 1 3
Direct
0.0000 0.0000 0.0000
0.5000 0.5000 0.5000
0.0000 0.0000 0.5000
0.0000 0.5000 0.0000
0.5000 0.0000 0.0000
```

***

DFT (PBE) results for an optimized crystal structure of KAcTl4.

For the total energy, the calculation gives -15.40 eV for the cell shown.

Geometry as POSCAR:
```
KAcTl4
1.0
0.0000 4.6252 4.6252
4.6252 0.0000 4.6252
4.6252 4.6252 0.0000
K Ac Tl
1 1 4
Direct
0.0000 0.0000 0.0000
0.7500 0.7500 0.7500
0.3752 0.3752 0.3752
0.3752 0.3752 0.8743
0.3752 0.8743 0.3752
0.8743 0.3752 0.3752
```

***

DFT (PBE) results for an optimized crystal structure of TbSmCoBr.

The uncorrected formation energy is -0.722 eV per atom.

Geometry as POSCAR:
```
TbSmCoBr
1.0
1.9503 1.1260 7.7314
-1.9503 1.1260 7.7314
0.0000 -2.2521 7.7314
Tb Sm Co Br
1 1 1 1
Direct
0.0000 0.0000 0.0000
0.2068 0.2068 0.2068
0.6042 0.6042 0.6042
0.4332 0.4332 0.4332
```

***

DFT (PBE) results for an optimized crystal structure of BeAlTc.

The calculation puts the energy above the lowest structure with this stoichiometry at 0.698 eV/atom.

Geometry as POSCAR:
```
BeAlTc
1.0
0.0000 2.8362 2.8362
2.8362 0.0000 2.8362
2.8362 2.8362 0.0000
Be Al Tc
1 1 1
Direct
0.0000 0.0000 0.0000
0.5000 0.5000 0.5000
0.2500 0.2500 0.2500
```

***

DFT (PBE) results for an optimized crystal structure of Pm3Sm4Ho5.

The calculation puts the energy above the lowest structure with this stoichiometry at 0.208 eV/atom.

Geometry as POSCAR:
```
Pm3Sm4Ho5
1.0
8.0430 -2.9771 0.0000
8.0430 2.9771 0.0000
-4.1149 0.0000 8.3833
Pm Sm Ho
3 4 5
Direct
0.0000 0.0000 0.0000
0.2906 0.2906 0.7675
0.7094 0.7094 0.2325
0.2893 0.2893 0.1194
0.4167 0.4167 0.5559
0.5833 0.5833 0.4441
0.7107 0.7107 0.8806
0.0721 0.0721 0.6977
0.1721 0.1721 0.3874
0.5000 0.5000 0.0000
0.8279 0.8279 0.6126
0.9279 0.9279 0.3023
```

***

DFT (PBE) results for an optimized crystal structure of HoTm4Pd2.

The calculation puts the energy above the lowest structure with this stoichiometry at 0.091 eV/atom.

Geometry as POSCAR:
```
HoTm4Pd2
1.0
1.8958 1.0945 15.5144
-1.8958 1.0945 15.5144
0.0000 -2.1890 15.5144
Ho Tm Pd
1 4 2
Direct
0.0000 0.0000 0.0000
0.1977 0.1977 0.1977
0.3938 0.3938 0.3938
0.6062 0.6062 0.6062
0.8023 0.8023 0.8023
0.0981 0.0981 0.0981
0.9019 0.9019 0.9019
```

***

DFT (PBE) results for an optimized crystal structure of BaCaOs2N.

The uncorrected formation energy is 2.976 eV per atom.

Geometry as POSCAR:
```
BaCaOs2N
1.0
4.6709 0.0000 0.0000
0.0000 4.6709 0.0000
0.0000 0.0000 6.7290
Ba Ca Os N
1 1 2 1
Direct
0.0000 0.0000 0.0000
0.0000 0.0000 0.5000
0.0000 0.5000 0.5000
0.5000 0.0000 0.5000
0.5000 0.5000 0.0000
```

***

DFT (PBE) results for an optimized crystal structure of PrZnAu3.

The calculation puts the energy above the lowest structure with this stoichiometry at 0.000 eV/atom.

Geometry as POSCAR:
```
PrZnAu3
1.0
9.1459 0.0000 0.0000
0.0000 4.9260 0.0000
0.0000 0.0000 9.3142
Pr Zn Au
4 4 12
Direct
0.2373 0.2500 0.0044
0.2627 0.7500 0.5044
0.7373 0.2500 0.4956
0.7627 0.7500 0.9956
0.0999 0.2500 0.6638
0.4001 0.7500 0.1638
0.5999 0.2500 0.8362
0.9001 0.7500 0.3362
0.0789 0.2500 0.3838
0.1057 0.7500 0.8467
0.1123 0.7500 0.1622
0.3877 0.2500 0.6622
0.3943 0.2500 0.3467
0.4211 0.7500 0.8838
0.5789 0.2500 0.1162
0.6057 0.7500 0.6533
0.6123 0.7500 0.3378
0.8877 0.2500 0.8378
0.8943 0.2500 0.1533
0.9211 0.7500 0.6162
```

***

DFT (PBE) results for an optimized crystal structure of NaAcPaSe4.

The uncorrected formation energy is -1.539 eV per atom.

Geometry as POSCAR:
```
NaAcPaSe4
1.0
-4.2884 4.5337 6.3222
4.2884 -4.5337 6.3222
4.2884 4.5337 -6.3222
Na Ac Pa Se
2 2 2 8
Direct
0.3753 0.1253 0.2500
0.6247 0.8747 0.7500
0.0000 0.5000 0.5000
0.5000 0.5000 0.0000
0.0000 0.0000 0.5000
0.0000 0.5000 0.0000
0.2130 0.7468 0.4663
0.2195 0.2532 0.9663
0.2256 0.2323 0.5067
0.2256 0.7189 0.9933
0.7744 0.2811 0.0067
0.7744 0.7677 0.4933
0.7805 0.7468 0.0337
0.7870 0.2532 0.5337
```

***

DFT (PBE) results for an optimized crystal structure of AcNdSb2Pd5.

The uncorrected formation energy is -0.734 eV per atom.

Geometry as POSCAR:
```
AcNdSb2Pd5
1.0
4.4980 0.0000 0.0000
0.0000 4.4980 0.0000
0.0000 0.0000 9.7617
Ac Nd Sb Pd
1 1 2 5
Direct
0.0000 0.0000 0.0000
0.0000 0.0000 0.5000
0.5000 0.5000 0.3516
0.5000 0.5000 0.6484
0.0000 0.5000 0.2150
0.0000 0.5000 0.7850
0.5000 0.0000 0.2150
0.5000 0.0000 0.7850
0.5000 0.5000 0.0000
```

***

DFT (PBE) results for an optimized crystal structure of Li4Ag2P.

For the total energy, the calculation gives -19.46 eV for the cell shown.

Geometry as POSCAR:
```
Li4Ag2P
1.0
-2.2954 2.2954 6.6495
2.2954 -2.2954 6.6495
2.2954 2.2954 -6.6495
Li Ag P
4 2 1
Direct
0.0000 0.5000 0.5000
0.1795 0.1795 0.0000
0.5000 0.0000 0.5000
0.8205 0.8205 0.0000
0.3831 0.3831 0.0000
0.6169 0.6169 0.0000
0.0000 0.0000 0.0000
```

***

DFT (PBE) results for an optimized crystal structure of KLiH6Ir.

For the total energy, the calculation gives -34.60 eV for the cell shown.

Geometry as POSCAR:
```
KLiH6Ir
1.0
3.8070 0.0000 0.0000
1.8975 4.6350 0.0000
0.0050 1.2688 5.6539
K Li H Ir
1 1 6 1
Direct
0.0000 0.0000 0.0000
0.7091 0.5826 0.5221
0.0720 0.4136 0.2671
0.2874 0.4247 0.6513
0.5159 0.4128 0.2678
0.5271 0.9446 0.2915
0.5515 0.8990 0.7054
0.9409 0.1297 0.5052
0.4056 0.1865 0.4678
```

***

DFT (PBE) results for an optimized crystal structure of Ac3LaPr2N6.

The uncorrected formation energy is -1.160 eV per atom.

Geometry as POSCAR:
```
Ac3LaPr2N6
1.0
3.2995 -5.7154 0.0000
3.2995 5.7154 0.0000
-2.1978 0.0000 6.2441
Ac La Pr N
3 1 2 6
Direct
0.0000 0.0000 0.0000
0.3329 0.6671 0.0000
0.6671 0.3329 0.0000
0.5000 0.5000 0.5000
0.1665 0.8335 0.5000
0.8335 0.1665 0.5000
0.0848 0.4199 0.2599
0.2446 0.2446 0.7391
0.4199 0.0848 0.2599
0.5801 0.9152 0.7401
0.7554 0.7554 0.2609
0.9152 0.5801 0.7401
```

***

DFT (PBE) results for an optimized crystal structure of RuN2.

The uncorrected formation energy is 0.365 eV per atom.

Geometry as POSCAR:
```
RuN2
1.0
4.1092 0.0000 0.0000
0.0000 4.9232 0.0000
0.0000 0.0000 2.7301
Ru N
2 4
Direct
0.0000 0.0000 0.0000
0.5000 0.5000 0.5000
0.1208 0.4093 0.0000
0.3792 0.9093 0.5000
0.6208 0.0907 0.5000
0.8792 0.5907 0.0000
```

***

DFT (PBE) results for an optimized crystal structure of CsTiSbI2.

The uncorrected formation energy is -0.566 eV per atom.

Geometry as POSCAR:
```
CsTiSbI2
1.0
5.9080 0.0000 0.0000
0.0000 5.9080 0.0000
0.0000 0.0000 5.3365
Cs Ti Sb I
1 1 1 2
Direct
0.0000 0.0000 0.0000
0.5000 0.5000 0.5000
0.5000 0.5000 0.0000
0.0000 0.5000 0.5000
0.5000 0.0000 0.5000
```

***

DFT (PBE) results for an optimized crystal structure of TbAlGe.

For the total energy, the calculation gives -58.91 eV for the cell shown.

Geometry as POSCAR:
```
TbAlGe
1.0
7.1020 0.0000 0.0000
0.0000 4.3998 0.0000
0.0000 0.0000 8.7247
Tb Al Ge
4 4 4
Direct
0.1482 0.2500 0.1677
0.3518 0.7500 0.6677
0.6482 0.2500 0.3323
0.8518 0.7500 0.8323
0.0027 0.7500 0.4205
0.4973 0.2500 0.9205
0.5027 0.7500 0.0795
0.9973 0.2500 0.5795
0.1460 0.2500 0.8373
0.3540 0.7500 0.3373
0.6460 0.2500 0.6627
0.8540 0.7500 0.1627
```

***

DFT (PBE) results for an optimized crystal structure of ZrHgI2.

The calculation puts the energy above the lowest structure with this stoichiometry at 0.331 eV/atom. The uncorrected formation energy is -0.289 eV per atom.

Geometry as POSCAR:
```
ZrHgI2
1.0
-5.1640 5.1640 3.0159
5.1640 -5.1640 3.0159
5.1640 5.1640 -3.0159
Zr Hg I
2 2 4
Direct
0.0000 0.0000 0.0000
0.7500 0.2500 0.5000
0.2500 0.7500 0.5000
0.5000 0.5000 0.0000
0.3750 0.2326 0.3576
0.7674 0.1250 0.1424
0.8750 0.0174 0.6424
0.9826 0.6250 0.8576
```

***

DFT (PBE) results for an optimized crystal structure of Ba2AlAg.

For the total energy, the calculation gives -10.18 eV for the cell shown.

Geometry as POSCAR:
```
Ba2AlAg
1.0
4.3050 0.0000 0.0000
0.0000 5.5271 0.0000
0.0000 0.0000 7.0077
Ba Al Ag
2 1 1
Direct
0.0000 0.0000 0.0000
0.5000 0.5000 0.4919
0.0000 0.0000 0.5007
0.5000 0.5000 0.9914
```

***

DFT (PBE) results for an optimized crystal structure of RbNa2CeBr8.

The uncorrected formation energy is -1.434 eV per atom.

Geometry as POSCAR:
```
RbNa2CeBr8
1.0
6.1787 0.0000 0.0000
-0.1477 7.2557 0.0000
-0.0208 -0.0040 9.9196
Rb Na Ce Br
1 2 1 8
Direct
0.0000 0.0000 0.0000
0.5004 0.4999 0.2695
0.4996 0.5001 0.7305
0.0000 0.0000 0.5000
0.2472 0.8485 0.2936
0.2483 0.3281 0.4996
0.2484 0.8497 0.7069
0.2489 0.4833 0.9999
0.7511 0.5167 0.0001
0.7516 0.1503 0.2931
0.7517 0.6719 0.5004
0.7528 0.1515 0.7064
```